Entry 1:
## GaTcMo (PBE-GGA)

Data for a relaxed structure of GaTcMo.

Cell: 2.7427 4.3698 4.3698 Å, 120.00 90.00 90.00°
Positions (direct):
Mo 0.3729 0.6667 0.3333
Tc 0.6715 0.3333 0.6667
Ga 0.9556 0.0000 0.0000

Properties
Fermi-level density of states: 0.710 states/eV/atom
ΔE to the lowest computed polymorph: 162 meV/atom
energy: -8.0891 eV per atom
calculated formation energy: -0.014 eV/atom



Entry 2:
## Ga2Tc2Mo (PBE-GGA)

Data for a relaxed structure of Ga2Tc2Mo.

Cell: 6.8924 6.8924 3.2625 Å, 90.00 90.00 90.00°
Positions (direct):
Mo 0.0000 0.0000 0.0000
Mo 0.5000 0.5000 0.0000
Tc 0.3592 0.8592 0.0000
Tc 0.8592 0.6408 0.0000
Tc 0.6408 0.1408 0.0000
Tc 0.1408 0.3592 0.0000
Ga 0.1592 0.6592 0.5000
Ga 0.6592 0.8408 0.5000
Ga 0.8408 0.3408 0.5000
Ga 0.3408 0.1592 0.5000

Properties
Fermi-level density of states: 0.850 states/eV/atom
ΔE to the lowest computed polymorph: 171 meV/atom
energy: -7.3020 eV per atom
calculated formation energy: 0.221 eV/atom



Entry 3:
## GaTcMo2 (PBE-GGA)

Data for a relaxed structure of GaTcMo2.

Cell: 7.1727 7.1727 5.7180 Å, 51.16 51.16 90.00°
Positions (direct):
Mo 0.6546 0.1250 0.2500
Mo 0.0954 0.6250 0.2500
Mo 0.3750 0.3454 0.7500
Mo 0.8750 0.9046 0.7500
Tc 0.0000 0.0000 0.0000
Tc 0.7500 0.2500 0.5000
Ga 0.5000 0.5000 0.0000
Ga 0.2500 0.7500 0.5000

Properties
Fermi-level density of states: 0.572 states/eV/atom
energy: -8.1450 eV per atom
calculated formation energy: 0.619 eV/atom



Entry 4:
## GaTcMo3 (PBE-GGA)

Data for a relaxed structure of GaTcMo3.

Cell: 4.6947 4.6947 4.6947 Å, 90.00 90.00 90.00°
Positions (direct):
Mo 0.0000 0.5000 0.0000
Mo 0.0000 0.0000 0.5000
Mo 0.5000 0.0000 0.0000
Tc 0.0000 0.0000 0.0000
Ga 0.5000 0.5000 0.5000

Properties
Fermi-level density of states: 1.434 states/eV/atom
energy: -7.6409 eV per atom
calculated formation energy: 1.536 eV/atom



Entry 5:
## Ga2TcMo (PBE-GGA)

Data for a relaxed structure of Ga2TcMo.

Cell: 2.8883 2.8883 8.6901 Å, 80.20 80.20 59.28°
Positions (direct):
Ga 0.0800 0.0800 0.7571
Ga 0.2544 0.2544 0.2430
Tc 0.6683 0.6683 0.0008
Mo 0.4973 0.4973 0.4992

Properties
Fermi-level density of states: 0.836 states/eV/atom
ΔE to the lowest computed polymorph: 0 meV/atom
energy: -6.8157 eV per atom
calculated formation energy: -0.003 eV/atom



Entry 6:
## GaTc2Mo (PBE-GGA)

Data for a relaxed structure of GaTc2Mo.

Cell: 3.1312 3.1312 6.0624 Å, 90.00 90.00 90.00°
Positions (direct):
Mo 0.5000 0.5000 0.0000
Tc 0.0000 0.0000 0.7479
Tc 0.0000 0.0000 0.2521
Ga 0.5000 0.5000 0.5000

Properties
Fermi-level density of states: 0.859 states/eV/atom
energy: -8.7374 eV per atom
calculated formation energy: -0.090 eV/atom



Entry 7:
## Ga2Tc3Mo (PBE-GGA)

Data for a relaxed structure of Ga2Tc3Mo.

Cell: 5.3328 5.1746 7.8227 Å, 109.31 112.39 90.00°
Positions (direct):
Ga 0.7185 0.4585 0.6550
Ga 0.7815 0.8035 0.3450
Ga 0.2815 0.5415 0.3450
Ga 0.2185 0.1965 0.6550
Tc 0.5000 0.0000 0.0000
Tc 0.0000 0.0000 0.0000
Tc 0.8474 0.2952 0.3308
Tc 0.1526 0.7048 0.6692
Tc 0.6526 0.9644 0.6692
Tc 0.3474 0.0356 0.3308
Mo 0.7500 0.4517 0.0000
Mo 0.2500 0.5483 0.0000

Properties
Fermi-level density of states: 0.748 states/eV/atom
energy: -7.7991 eV per atom
calculated formation energy: 0.198 eV/atom



Entry 8:
## GaTcMo (PBE-GGA)

Data for a relaxed structure of GaTcMo.

Cell: 3.1379 3.1379 5.0681 Å, 108.03 108.03 90.00°
Positions (direct):
Mo 0.3264 0.3264 0.6528
Tc 0.6711 0.6711 0.3423
Ga 0.0025 0.0025 0.0050

Properties
Fermi-level density of states: 0.301 states/eV/atom
ΔE to the lowest computed polymorph: 0 meV/atom
energy: -8.2513 eV per atom
calculated formation energy: -0.177 eV/atom